Entry from the Alexandria database: an optimized crystal structure of KHfSn3 (PBE).

As for the energy of formation from the pure elements: 1.493 eV/atom. The value obtained for the uncorrected energy is -15.6 eV per cell.

The space group is Pm-3m (No. 221) and the conventional cell measures 5.5188, 5.5188 and 5.5188 Å, with angles of 90.00, 90.00 and 90.00 degrees. Symmetry generates all atoms from K at (0.0000, 0.0000, 0.0000), Hf at (0.5000, 0.5000, 0.5000) and Sn at (0.0000, 0.0000, 0.5000).